[1]
Crystalline YCrReRu2 at its relaxed geometry, computed with PBE.

Cell and atoms, written as CIF:
```
data_YCrReRu2
_chemical_formula_sum 'Y1 Cr1 Re1 Ru2'
_space_group_name_H-M_alt 'P 4/m m m'
_space_group_IT_number 123
_space_group_name_Hall '-P 4 2'
_cell_length_a 4.484
_cell_length_b 4.484
_cell_length_c 4.549
_cell_angle_alpha 90.00
_cell_angle_beta 90.00
_cell_angle_gamma 90.00
loop_
_atom_site_label
_atom_site_type_symbol
_atom_site_fract_x
_atom_site_fract_y
_atom_site_fract_z
Y1 Y 0.000 0.000 0.000
Cr1 Cr 0.500 0.500 0.500
Re1 Re 0.500 0.500 0.000
Ru1 Ru 0.000 0.500 0.500
```

Energy of formation (meV per atom): 603
Spin magnetization (Bohr magnetons per cell): 0.00

***

[2]
Crystalline Na2Cd9Pb at its relaxed geometry, computed with PBE.

Cell and atoms, written as CIF:
```
data_Na2Cd9Pb
_chemical_formula_sum 'Na6 Cd27 Pb3'
_space_group_name_H-M_alt 'R -3 m'
_space_group_IT_number 166
_space_group_name_Hall '-R 3 2"'
_cell_length_a 5.9771
_cell_length_b 5.9771
_cell_length_c 29.3313
_cell_angle_alpha 90.00
_cell_angle_beta 90.00
_cell_angle_gamma 120.00
loop_
_atom_site_label
_atom_site_type_symbol
_atom_site_fract_x
_atom_site_fract_y
_atom_site_fract_z
Na1 Na 0.0000 0.0000 0.1438
Cd1 Cd 0.0000 0.0000 0.3345
Cd2 Cd 0.0000 0.0000 0.5000
Cd3 Cd 0.0053 0.5027 0.9145
Pb1 Pb 0.0000 0.0000 0.0000
```

Energy of formation (meV per atom): -37
Energy above the most stable polymorph in this dataset (meV/atom): 0
Spin magnetization (Bohr magnetons per cell): 0.00

***

[3]
Crystalline PtSeBrF2 at its relaxed geometry, computed with PBE.

Cell and atoms, written as CIF:
```
data_PtSeBrF2
_chemical_formula_sum 'Pt1 Se1 Br1 F2'
_space_group_name_H-M_alt 'P 4/m m m'
_space_group_IT_number 123
_space_group_name_Hall '-P 4 2'
_cell_length_a 4.079
_cell_length_b 4.079
_cell_length_c 5.101
_cell_angle_alpha 90.00
_cell_angle_beta 90.00
_cell_angle_gamma 90.00
loop_
_atom_site_label
_atom_site_type_symbol
_atom_site_fract_x
_atom_site_fract_y
_atom_site_fract_z
Pt1 Pt 0.000 0.000 0.000
Se1 Se 0.000 0.000 0.500
Br1 Br 0.500 0.500 0.000
F1 F 0.000 0.500 0.500
```

Uncorrected formation energy (eV per atom): -0.5486
Spin magnetization (Bohr magnetons per cell): 0.00

***

[4]
Crystalline NiSbP at its relaxed geometry, computed with PBE.

Cell and atoms, written as CIF:
```
data_NiSbP
_chemical_formula_sum 'Ni4 Sb4 P4'
_space_group_name_H-M_alt 'C 1 m 1'
_space_group_IT_number 8
_cell_length_a 11.548
_cell_length_b 3.406
_cell_length_c 7.048
_cell_angle_alpha 90.00
_cell_angle_beta 126.48
_cell_angle_gamma 90.00
loop_
_space_group_symop_operation_xyz
'x,y,z'
'x,-y,z'
'x+1/2,y+1/2,z'
'x+1/2,-y+1/2,z'
loop_
_atom_site_label
_atom_site_type_symbol
_atom_site_fract_x
_atom_site_fract_y
_atom_site_fract_z
Ni1 Ni 0.000 0.000 0.000
Ni2 Ni 0.157 0.000 0.452
Sb1 Sb 0.081 0.500 0.646
Sb2 Sb 0.339 0.500 0.145
P1 P 0.147 0.500 0.234
P2 P 0.392 0.000 0.745
```

Uncorrected formation energy (eV per atom): -0.1272
Energy above the most stable polymorph in this dataset (meV/atom): 107
Spin magnetization (Bohr magnetons per cell): 0.00

***

[5]
Crystalline Ti3Fe at its relaxed geometry, computed with PBE.

Cell and atoms, written as CIF:
```
data_Ti3Fe
_chemical_formula_sum 'Ti3 Fe1'
_space_group_name_H-M_alt 'P -6 m 2'
_space_group_IT_number 187
_space_group_name_Hall 'P -6 2'
_cell_length_a 2.9576
_cell_length_b 2.9576
_cell_length_c 8.2457
_cell_angle_alpha 90.00
_cell_angle_beta 90.00
_cell_angle_gamma 120.00
loop_
_atom_site_label
_atom_site_type_symbol
_atom_site_fract_x
_atom_site_fract_y
_atom_site_fract_z
Ti1 Ti 0.0000 0.0000 0.0000
Ti2 Ti 0.6667 0.3333 0.2824
Fe1 Fe 0.0000 0.0000 0.5000
```

Energy of formation (meV per atom): 40
Spin magnetization (Bohr magnetons per cell): 0.61

***

[6]
Crystalline DyTe3 at its relaxed geometry, computed with PBE.

Cell and atoms, written as CIF:
```
data_DyTe3
_chemical_formula_sum 'Dy2 Te6'
_space_group_name_H-M_alt 'I m m 2'
_space_group_IT_number 44
_cell_length_a 4.344
_cell_length_b 9.641
_cell_length_c 5.969
_cell_angle_alpha 90.00
_cell_angle_beta 90.00
_cell_angle_gamma 90.00
loop_
_space_group_symop_operation_xyz
'x,y,z'
'-x,-y,z'
'-x,y,z'
'x,-y,z'
'x+1/2,y+1/2,z+1/2'
'-x+1/2,-y+1/2,z+1/2'
'-x+1/2,y+1/2,z+1/2'
'x+1/2,-y+1/2,z+1/2'
loop_
_atom_site_label
_atom_site_type_symbol
_atom_site_fract_x
_atom_site_fract_y
_atom_site_fract_z
Dy1 Dy 0.000 0.000 0.000
Te1 Te 0.000 0.309 0.746
Te2 Te 0.000 0.500 0.137
```

Uncorrected formation energy (eV per atom): -0.7072
Spin magnetization (Bohr magnetons per cell): 0.00

***

Short version: V = 91.5, 907.5, 84.9, 222.9, 62.5, 250.0 Å³/cell, in the order given.